Entry 1:
Re2Mo: relaxed, PBE-GGA.

Density of states at the Fermi level ... 0.90 states/eV/atom
E ... -11.37 eV per atom
V ... 16.84 Å³ per atom
Energy above the most stable polymorph in this dataset ... 122.2 kJ/mol of formula units
Calculated density ... 15.39 g/cm³
ΔE_f ... 155.6 kJ/mol of formula units
Space-group type ... No. 74

Cell: 4.2693 17.4183 2.7180 Å, 90.00 90.00 90.00°
Closest atoms and distances in Å follow each position.
Sites, in units of the cell vectors:
1 Mo 0.2500 0.6186 0.0000  2 Mo 2.72, 10 Re 2.78-3.01
2 Mo 0.7500 0.1186 0.5000  2 Mo 2.72, 10 Re 2.78-3.01
3 Mo 0.7500 0.3814 0.0000  2 Mo 2.72, 10 Re 2.78-3.01
4 Mo 0.2500 0.8814 0.5000  2 Mo 2.72, 10 Re 2.78-3.01
5 Re 0.2500 0.4642 0.5000  5 Re 2.47-2.72
6 Re 0.7500 0.8148 0.0000  5 Re 2.60-2.72, 4 Mo 2.78
7 Re 0.2500 0.3148 0.5000  5 Re 2.60-2.72, 4 Mo 2.78
8 Re 0.7500 0.5358 0.5000  5 Re 2.47-2.72
9 Re 0.7500 0.9642 0.0000  5 Re 2.47-2.72
10 Re 0.2500 0.1852 0.0000  5 Re 2.60-2.72, 4 Mo 2.78
11 Re 0.2500 0.0358 0.0000  5 Re 2.47-2.72
12 Re 0.7500 0.6852 0.5000  5 Re 2.60-2.72, 4 Mo 2.78

---

Entry 2:
Ta2CuNi: relaxed, PBE-GGA.

Density of states at the Fermi level ... 1.06 states/eV/atom
E ... -8.40 eV per atom
V ... 14.75 Å³ per atom
Energy above the most stable polymorph in this dataset ... 23.3 kJ/mol of formula units
Calculated density ... 13.63 g/cm³
ΔE_f ... -3.3 kJ/mol of formula units
Space-group type ... No. 6

Cell: 4.4528 2.7392 4.8520 Å, 85.48 90.00 90.00°
Closest atoms and distances in Å follow each position.
Sites, in units of the cell vectors:
1 Ni 0.5000 0.6315 0.7848  7 Ta 2.64-2.82, 2 Cu 2.72, 2 Ni 2.74
2 Ta 0.0000 0.0434 0.9426  4 Ni 2.64-2.82, 3 Cu 2.67-2.70, 4 Ta 2.74-2.90
3 Ta 0.5000 0.2031 0.3079  4 Cu 2.64-2.81, 3 Ni 2.68-2.71, 4 Ta 2.74-2.90
4 Cu 0.0000 0.6220 0.4648  7 Ta 2.64-2.81, 2 Ni 2.72, 2 Cu 2.74

---

Entry 3:
CeTh2Au: relaxed, PBE-GGA.

Density of states at the Fermi level ... 1.77 states/eV/atom
E ... -6.30 eV per atom
V ... 28.45 Å³ per atom
Energy above the most stable polymorph in this dataset ... 0.0 kJ/mol of formula units
Calculated density ... 11.69 g/cm³
ΔE_f ... -111.7 kJ/mol of formula units
Space-group type ... No. 129

Cell: 5.1723 5.1723 8.5082 Å, 90.00 90.00 90.00°
Closest atoms and distances in Å follow each position.
Sites, in units of the cell vectors:
1 Ce 0.5000 0.0000 0.7764  4 Au 3.21, 4 Th 3.50
2 Ce 0.0000 0.5000 0.2236  4 Au 3.21, 4 Th 3.50
3 Th 0.0000 0.0000 0.5000  4 Ce 3.50, 8 Th 3.51-3.66
4 Th 0.5000 0.0000 0.2203  4 Au 3.19, 4 Th 3.51
5 Th 0.0000 0.5000 0.7797  4 Au 3.19, 4 Th 3.51
6 Th 0.5000 0.5000 0.5000  4 Ce 3.50, 8 Th 3.51-3.66
7 Au 0.5000 0.5000 0.0000  4 Th 3.19, 4 Ce 3.21
8 Au 0.0000 0.0000 0.0000  4 Th 3.19, 4 Ce 3.21